Density functional theory data (PBE) for an optimized crystal structure of NaNb2S4.

E_form (uncorrected)	-89.6	kJ/mol of atoms
offset from the most stable computed form	210	meV per atom
spin magnetization	0.00	μB/f.u.

Lattice parameters (Å, degrees): 7.2584 7.2584 7.2584 115.65 115.65 97.72
Positions (direct):
1 Na 0.0000 0.0000 0.0000
2 Na 0.7500 0.2500 0.5000
3 Nb 0.4151 0.7043 0.7108
4 Nb 0.4543 0.2435 0.7892
5 Nb 0.4543 0.6651 0.2108
6 Nb 0.9935 0.7043 0.2892
7 S 0.1907 0.4502 0.2595
8 S 0.1907 0.9311 0.7405
9 S 0.2002 0.4407 0.7595
10 S 0.2767 0.9595 0.3172
11 S 0.6423 0.9595 0.6828
12 S 0.6811 0.4407 0.2405
13 S 0.7095 0.5267 0.8172
14 S 0.7095 0.8923 0.1828

***

Density functional theory data (PBE) for an optimized crystal structure of NaNbS2.

E_form (uncorrected)	-94.3	kJ/mol of atoms
spin magnetization	0.00	μB/f.u.

Lattice parameters (Å, degrees): 3.1511 3.1511 6.8809 90.00 90.00 90.00
Positions (direct):
1 Na 0.0000 0.0000 0.0000
2 Nb 0.0000 0.0000 0.5000
3 S 0.5000 0.5000 0.2898
4 S 0.5000 0.5000 0.7102

***

Density functional theory data (PBE) for an optimized crystal structure of Na2NbS4.

E_form (uncorrected)	-83.0	kJ/mol of atoms
offset from the most stable computed form	0	meV per atom
spin magnetization	0.00	μB/f.u.

Lattice parameters (Å, degrees): 7.4063 7.4063 6.3237 114.93 114.93 28.40
Positions (direct):
1 Na 0.2008 0.2008 0.2133
2 Na 0.7992 0.7992 0.7867
3 Nb 0.5000 0.5000 0.5000
4 S 0.1308 0.1308 0.5688
5 S 0.4451 0.4451 0.0687
6 S 0.5549 0.5549 0.9313
7 S 0.8692 0.8692 0.4312

***

Density functional theory data (PBE) for an optimized crystal structure of NaNbS2.

E_form (uncorrected)	-102.2	kJ/mol of atoms
spin magnetization	0.00	μB/f.u.

Lattice parameters (Å, degrees): 7.4402 7.4402 7.4402 26.90 26.90 26.90
Positions (direct):
1 Na 0.0000 0.0000 0.0000
2 Nb 0.1673 0.1673 0.1673
3 S 0.5734 0.5734 0.5734
4 S 0.7612 0.7612 0.7612

***

Density functional theory data (PBE) for an optimized crystal structure of NaNb4S8.

E_form (uncorrected)	-102.9	kJ/mol of atoms
offset from the most stable computed form	0	meV per atom
spin magnetization	0.00	μB/f.u.

Lattice parameters (Å, degrees): 6.7717 6.7717 9.4189 122.21 122.21 60.00
Positions (direct):
1 Na 0.0000 0.0000 0.0000
2 Nb 0.2522 0.2522 0.5021
3 Nb 0.2534 0.7466 0.5000
4 Nb 0.7466 0.2534 0.5000
5 Nb 0.7478 0.7478 0.4979
6 S 0.0199 0.0199 0.7078
7 S 0.0207 0.5199 0.7103
8 S 0.4788 0.4788 0.2888
9 S 0.4801 0.9793 0.2897
10 S 0.5199 0.0207 0.7103
11 S 0.5212 0.5212 0.7112
12 S 0.9793 0.4801 0.2897
13 S 0.9801 0.9801 0.2922

***

Density functional theory data (PBE) for an optimized crystal structure of Na3NbS4.

E_form (uncorrected)	-103.6	kJ/mol of atoms
spin magnetization	0.00	μB/f.u.

Lattice parameters (Å, degrees): 8.4309 10.5907 9.0388 90.00 90.00 90.00
Positions (direct):
1 Na 0.0923 0.2500 0.0772
2 Na 0.0985 0.5571 0.2737
3 Na 0.0985 0.9429 0.2737
4 Na 0.4015 0.0571 0.7737
5 Na 0.4015 0.4429 0.7737
6 Na 0.4077 0.7500 0.5772
7 Na 0.5923 0.2500 0.4228
8 Na 0.5985 0.5571 0.2263
9 Na 0.5985 0.9429 0.2263
10 Na 0.9015 0.0571 0.7263
11 Na 0.9015 0.4429 0.7263
12 Na 0.9077 0.7500 0.9228
13 Nb 0.1809 0.2500 0.5100
14 Nb 0.3191 0.7500 0.0100
15 Nb 0.6809 0.2500 0.9900
16 Nb 0.8191 0.7500 0.4900
17 S 0.0551 0.7500 0.6102
18 S 0.1366 0.2500 0.7617
19 S 0.1776 0.5710 0.9530
20 S 0.1776 0.9290 0.9530
21 S 0.3224 0.0710 0.4530
22 S 0.3224 0.4290 0.4530
23 S 0.3634 0.7500 0.2617
24 S 0.4449 0.2500 0.1102
25 S 0.5551 0.7500 0.8898
26 S 0.6366 0.2500 0.7383
27 S 0.6776 0.5710 0.5470
28 S 0.6776 0.9290 0.5470
29 S 0.8224 0.0710 0.0470
30 S 0.8224 0.4290 0.0470
31 S 0.8634 0.7500 0.2383
32 S 0.9449 0.2500 0.3898

***

Density functional theory data (PBE) for an optimized crystal structure of NaNbS4.

E_form (uncorrected)	-76.4	kJ/mol of atoms
spin magnetization	0.00	μB/f.u.

Lattice parameters (Å, degrees): 7.4835 7.4835 6.5086 95.29 95.29 121.64
Positions (direct):
1 Na 0.1491 0.8509 0.7500
2 Na 0.8509 0.1491 0.2500
3 Nb 0.4413 0.5587 0.2500
4 Nb 0.5587 0.4413 0.7500
5 S 0.1814 0.6351 0.3528
6 S 0.2644 0.2711 0.4746
7 S 0.2711 0.2644 0.9746
8 S 0.3649 0.8186 0.1472
9 S 0.6351 0.1814 0.8528
10 S 0.7289 0.7356 0.0254
11 S 0.7356 0.7289 0.5254
12 S 0.8186 0.3649 0.6472

***

Density functional theory data (PBE) for an optimized crystal structure of Na4NbS5.

E_form (uncorrected)	-92.4	kJ/mol of atoms
spin magnetization	0.99	μB/f.u.

Lattice parameters (Å, degrees): 6.9002 6.9002 6.9002 100.60 100.60 129.22
Positions (direct):
1 Na 0.0897 0.6988 0.7885
2 Na 0.3012 0.0897 0.3909
3 Na 0.6988 0.9103 0.6091
4 Na 0.9103 0.3012 0.2115
5 Nb 0.4133 0.4133 0.0000
6 S 0.0284 0.0284 0.0000
7 S 0.2543 0.4286 0.6639
8 S 0.4286 0.7647 0.1743
9 S 0.5904 0.2543 0.8257
10 S 0.7647 0.5904 0.3361

***

Density functional theory data (PBE) for an optimized crystal structure of NaNb2S2.

E_form (uncorrected)	-44.7	kJ/mol of atoms
spin magnetization	0.00	μB/f.u.

Lattice parameters (Å, degrees): 5.3660 5.3660 5.3660 126.37 126.37 79.28
Positions (direct):
1 Na 0.0000 0.0000 0.0000
2 Nb 0.3569 0.3569 0.0000
3 Nb 0.6431 0.6431 0.0000
4 S 0.2500 0.7500 0.5000
5 S 0.7500 0.2500 0.5000

***

Density functional theory data (PBE) for an optimized crystal structure of Na3NbS4.

E_form (uncorrected)	-97.4	kJ/mol of atoms
spin magnetization	0.00	μB/f.u.

Lattice parameters (Å, degrees): 6.8981 6.8981 3.6555 90.00 90.00 106.03
Positions (direct):
1 Na 0.0000 0.0000 0.0000
2 Na 0.0000 0.5000 0.5000
3 Na 0.5000 0.0000 0.5000
4 Nb 0.5000 0.5000 0.0000
5 S 0.2787 0.7213 0.0000
6 S 0.2873 0.2873 0.5000
7 S 0.7127 0.7127 0.5000
8 S 0.7213 0.2787 0.0000

***

Density functional theory data (PBE) for an optimized crystal structure of NaNb6S8.

E_form (uncorrected)	-94.8	kJ/mol of atoms
offset from the most stable computed form	123	meV per atom
spin magnetization	0.00	μB/f.u.

Lattice parameters (Å, degrees): 6.7554 6.7554 6.7554 89.66 89.66 89.66
Positions (direct):
1 Na 0.0000 0.0000 0.0000
2 Nb 0.2059 0.4033 0.5531
3 Nb 0.4033 0.5531 0.2059
4 Nb 0.4469 0.7941 0.5967
5 Nb 0.5531 0.2059 0.4033
6 Nb 0.5967 0.4469 0.7941
7 Nb 0.7941 0.5967 0.4469
8 S 0.1337 0.7370 0.4026
9 S 0.2297 0.2297 0.2297
10 S 0.2630 0.5974 0.8663
11 S 0.4026 0.1337 0.7370
12 S 0.5974 0.8663 0.2630
13 S 0.7370 0.4026 0.1337
14 S 0.7703 0.7703 0.7703
15 S 0.8663 0.2630 0.5974

***

Density functional theory data (PBE) for an optimized crystal structure of Na2Nb4S7.

E_form (uncorrected)	-76.2	kJ/mol of atoms
spin magnetization	0.00	μB/f.u.

Lattice parameters (Å, degrees): 6.0927 6.0927 7.8224 90.00 90.00 120.00
Positions (direct):
1 Na 0.3333 0.6667 0.0000
2 Na 0.6667 0.3333 0.0000
3 Nb 0.0000 0.0000 0.3206
4 Nb 0.0000 0.0000 0.6794
5 Nb 0.3333 0.6667 0.5000
6 Nb 0.6667 0.3333 0.5000
7 S 0.0000 0.0000 0.0000
8 S 0.0000 0.3946 0.2808
9 S 0.0000 0.6054 0.7192
10 S 0.3946 0.0000 0.2808
11 S 0.3946 0.3946 0.7192
12 S 0.6054 0.0000 0.7192
13 S 0.6054 0.6054 0.2808

***

Density functional theory data (PBE) for an optimized crystal structure of NaNbS3.

E_form (uncorrected)	-86.9	kJ/mol of atoms
offset from the most stable computed form	0	meV per atom
spin magnetization	0.00	μB/f.u.

Lattice parameters (Å, degrees): 8.3705 8.3705 6.5085 91.60 91.60 71.27
Positions (direct):
1 Na 0.1404 0.8596 0.7500
2 Na 0.3427 0.6573 0.2500
3 Na 0.6573 0.3427 0.7500
4 Na 0.8596 0.1404 0.2500
5 Nb 0.1849 0.2958 0.8784
6 Nb 0.2958 0.1849 0.3784
7 Nb 0.7042 0.8151 0.6216
8 Nb 0.8151 0.7042 0.1216
9 S 0.0159 0.6035 0.8423
10 S 0.0385 0.2010 0.6056
11 S 0.2010 0.0385 0.1056
12 S 0.3156 0.4208 0.5778
13 S 0.3965 0.9841 0.6577
14 S 0.4208 0.3156 0.0778
15 S 0.5792 0.6844 0.9222
16 S 0.6035 0.0159 0.3423
17 S 0.6844 0.5792 0.4222
18 S 0.7990 0.9615 0.8944
19 S 0.9615 0.7990 0.3944
20 S 0.9841 0.3965 0.1577

***

Density functional theory data (PBE) for an optimized crystal structure of Na3NbS.

E_form (uncorrected)	120.8	kJ/mol of atoms
offset from the most stable computed form	772	meV per atom
spin magnetization	5.78	μB/f.u.

Lattice parameters (Å, degrees): 5.7147 5.7147 5.7147 90.00 90.00 90.00
Positions (direct):
1 Na 0.0000 0.0000 0.5000
2 Na 0.0000 0.5000 0.0000
3 Na 0.5000 0.0000 0.0000
4 Nb 0.0000 0.0000 0.0000
5 S 0.5000 0.5000 0.5000

***

Density functional theory data (PBE) for an optimized crystal structure of NaNb2S4.

E_form (uncorrected)	-109.9	kJ/mol of atoms
offset from the most stable computed form	0	meV per atom
spin magnetization	0.00	μB/f.u.

Lattice parameters (Å, degrees): 3.4097 3.4097 14.1235 90.00 90.00 120.00
Positions (direct):
1 Na 0.0000 0.0000 0.0000
2 Nb 0.0000 0.0000 0.7428
3 Nb 0.6667 0.3333 0.2550
4 S 0.3333 0.6667 0.1430
5 S 0.3333 0.6667 0.3620
6 S 0.3333 0.6667 0.6358
7 S 0.3333 0.6667 0.8549

***

Density functional theory data (PBE) for an optimized crystal structure of NaNbS2.

E_form (uncorrected)	-73.1	kJ/mol of atoms
spin magnetization	1.90	μB/f.u.

Lattice parameters (Å, degrees): 7.0872 7.0872 7.0872 128.62 128.62 75.63
Positions (direct):
1 Na 0.0000 0.0000 0.0000
2 Na 0.7500 0.2500 0.5000
3 Nb 0.2500 0.7500 0.5000
4 Nb 0.5000 0.5000 0.0000
5 S 0.1792 0.6250 0.0542
6 S 0.3750 0.4292 0.5542
7 S 0.5708 0.1250 0.9458
8 S 0.8750 0.8208 0.4458

***

Density functional theory data (PBE) for an optimized crystal structure of Na2NbS4.

E_form (uncorrected)	-69.6	kJ/mol of atoms
offset from the most stable computed form	139	meV per atom
spin magnetization	0.00	μB/f.u.

Lattice parameters (Å, degrees): 7.9090 7.9090 7.9090 144.07 144.07 51.72
Positions (direct):
1 Na 0.1377 0.1377 0.0000
2 Na 0.8623 0.8623 0.0000
3 Nb 0.5000 0.5000 0.0000
4 S 0.0000 0.5000 0.5000
5 S 0.3317 0.3317 0.0000
6 S 0.5000 0.0000 0.5000
7 S 0.6683 0.6683 0.0000

***

Density functional theory data (PBE) for an optimized crystal structure of NaNbS2.

E_form (uncorrected)	-75.2	kJ/mol of atoms
spin magnetization	0.00	μB/f.u.

Lattice parameters (Å, degrees): 3.4563 6.7217 8.1804 90.00 102.19 90.05
Positions (direct):
1 Na 0.0000 0.0000 0.0000
2 Na 0.1032 0.5000 0.2077
3 Nb 0.3605 0.4755 0.7167
4 Nb 0.7470 0.9756 0.4909
5 S 0.2469 0.2349 0.4900
6 S 0.4862 0.3232 0.9714
7 S 0.6179 0.8232 0.2362
8 S 0.8614 0.7348 0.7175

***

Density functional theory data (PBE) for an optimized crystal structure of NaNb2S.

E_form (uncorrected)	32.3	kJ/mol of atoms
spin magnetization	0.00	μB/f.u.

Lattice parameters (Å, degrees): 10.3734 10.3734 10.3734 158.53 158.53 30.55
Positions (direct):
1 Na 0.0000 0.0000 0.0000
2 Na 0.7500 0.2500 0.5000
3 Nb 0.1541 0.6250 0.0291
4 Nb 0.3750 0.4041 0.5291
5 Nb 0.5959 0.1250 0.9709
6 Nb 0.8750 0.8459 0.4709
7 S 0.2500 0.7500 0.5000
8 S 0.5000 0.5000 0.0000

***

Density functional theory data (PBE) for an optimized crystal structure of NaNb4S8.

E_form (uncorrected)	-91.4	kJ/mol of atoms
offset from the most stable computed form	119	meV per atom
spin magnetization	0.01	μB/f.u.

Lattice parameters (Å, degrees): 7.2577 7.2577 7.2577 60.00 60.00 60.00
Positions (direct):
1 Na 0.0000 0.0000 0.0000
2 Nb 0.1681 0.6106 0.6106
3 Nb 0.6106 0.1681 0.6106
4 Nb 0.6106 0.6106 0.1681
5 Nb 0.6106 0.6106 0.6106
6 S 0.3718 0.3718 0.3718
7 S 0.3718 0.3718 0.8848
8 S 0.3718 0.8848 0.3718
9 S 0.4238 0.8587 0.8587
10 S 0.8587 0.4238 0.8587
11 S 0.8587 0.8587 0.4238
12 S 0.8587 0.8587 0.8587
13 S 0.8848 0.3718 0.3718

***

Density functional theory data (PBE) for an optimized crystal structure of NaNbS2.

E_form (uncorrected)	-56.7	kJ/mol of atoms
spin magnetization	2.00	μB/f.u.

Lattice parameters (Å, degrees): 4.5570 4.5570 4.5570 60.00 60.00 60.00
Positions (direct):
1 Na 0.0000 0.0000 0.0000
2 Nb 0.5000 0.5000 0.5000
3 S 0.2500 0.2500 0.2500
4 S 0.7500 0.7500 0.7500